# SrZn3PdAu

An optimized crystal structure of SrZn3PdAu (PBE, Alexandria).

It has space group Cmcm (No. 63), with a = 7.8044 Å, b = 11.6167 Å, c = 5.8823 Å, α = 90.00°, β = 90.00° and γ = 90.00°. The distinct sites, in fractional coordinates, are Sr at (0.0000, 0.2085, 0.2500), Zn at (0.0000, 0.3230, 0.7500), Zn at (0.2397, 0.0000, 0.0000), Pd at (0.0000, 0.4651, 0.2500) and Au at (0.0000, 0.0996, 0.7500).

For the total energy, the calculation gives -15.9 eV/f.u. For the formation energy, the calculation gives -329 meV per atom.